# CdMoP2S

A geometry-optimized CdMoP2S structure (PBE-GGA, Alexandria via LeMat-Bulk).

```
5
Lattice="4.8600 0.0000 0.0000 0.0000 4.8600 0.0000 0.0000 0.0000 4.9460" Properties=species:S:1:pos:R:3 pbc="T T T"
P 0.0000 2.4300 0.0000
Mo 2.4300 2.4300 2.4730
S 0.0000 0.0000 2.4730
Cd 0.0000 0.0000 0.0000
P 2.4300 0.0000 0.0000
```

Summary:
Formation energy from raw total energies in eV per atom: 1.538
Total energy in eV for the cell shown: -19.0
Total magnetization in μB/f.u.: 2.5
Calculated density in Mg/m³: 4.298
D(E_F) in states/eV/f.u.: 3.90
ΔE to the lowest computed polymorph in eV per atom: 1.2229
Space-group type: P4/mmm, No. 123
Crystal system: tetragonal